Entry from Alexandria via LeMat-Bulk: an optimized crystal structure of Na2FeO2 (PBE with a Hubbard U).

Unit cell a=5.992 b=5.992 c=6.793 alpha=115.34 beta=115.34 gamma=46.08
Element x y z (fractional)
Na 0.012 0.012 0.222
Na 0.335 0.335 0.919
Na 0.665 0.665 0.081
Na 0.988 0.988 0.778
Fe 0.359 0.359 0.381
Fe 0.641 0.641 0.619
O 0.189 0.189 0.133
O 0.485 0.485 0.696
O 0.515 0.515 0.304
O 0.811 0.811 0.867

- crystal system = monoclinic
- magnetization (μB per cell) = 8.00
- E (Ha/atom) = -0.1828
- ρ (kg/m³) = 2858
- volume (Å³/cell) = 155